ScTcI2N | GGA-PBE | relaxed

Lattice parameters (Å, degrees): 5.5749 5.5749 3.7655 90.00 90.00 90.00
With the nearest neighbours (Å) after each atom.
Element x y z (fractional)
N: 0.0000 0.0000 0.5000  2 Tc 1.88
Sc: 0.5000 0.5000 0.5000  8 I 3.36, 2 Sc 3.77
I: 0.5000 0.0000 0.0000  2 Tc 2.79
I: 0.0000 0.5000 0.0000  2 Tc 2.79
Tc: 0.0000 0.0000 0.0000  2 N 1.88

Results
space group = No. 123
ρ = 5.828 Mg/m³
energy relative to the lowest polymorph listed for this composition = 0 meV per atom
total DFT energy (no corrections) = -5.43 eV/atom